VASP calculation (PBE) on Ag12Te3Se5 after structural relaxation.

```
data_Ag12Te3Se5
_chemical_formula_sum 'Ag96 Te24 Se40'
_space_group_name_H-M_alt 'I a -3 d'
_space_group_IT_number 230
_space_group_name_Hall '-I 4bd 2c 3'
_cell_length_a 15.911
_cell_length_b 15.911
_cell_length_c 15.911
_cell_angle_alpha 90.00
_cell_angle_beta 90.00
_cell_angle_gamma 90.00
loop_
_atom_site_label
_atom_site_fract_x
_atom_site_fract_y
_atom_site_fract_z
Ag1 0.020 0.074 0.651
Te1 0.000 0.250 0.125
Se1 0.000 0.000 0.000
Se2 0.000 0.250 0.375
```

Calculated values
formation energy without anion corrections	0.9	meV per atom
total magnetization	0.00	μB per cell

---

VASP calculation (PBE) on Na2NpTa2Se6 after structural relaxation.

```
data_Na2NpTa2Se6
_chemical_formula_sum 'Na4 Np2 Ta4 Se12'
_space_group_name_H-M_alt 'C 1 2/m 1'
_space_group_IT_number 12
_space_group_name_Hall '-C 2y'
_cell_length_a 6.721
_cell_length_b 11.034
_cell_length_c 7.512
_cell_angle_alpha 90.00
_cell_angle_beta 101.95
_cell_angle_gamma 90.00
loop_
_atom_site_label
_atom_site_fract_x
_atom_site_fract_y
_atom_site_fract_z
Na1 0.000 0.174 0.000
Np1 0.000 0.000 0.500
Ta1 0.000 0.365 0.500
Se1 0.217 0.500 0.745
Se2 0.237 0.182 0.707
```

Calculated values
formation energy without anion corrections	-929.5	meV per atom
total magnetization	8.11	μB per cell

---

VASP calculation (PBE) on Mg5Cd2Ni2Ag after structural relaxation.

```
data_Mg5Cd2Ni2Ag
_chemical_formula_sum 'Mg10 Cd4 Ni4 Ag2'
_space_group_name_H-M_alt 'P 4/m b m'
_space_group_IT_number 127
_space_group_name_Hall '-P 4 2ab'
_cell_length_a 9.873
_cell_length_b 9.873
_cell_length_c 3.828
_cell_angle_alpha 90.00
_cell_angle_beta 90.00
_cell_angle_gamma 90.00
loop_
_atom_site_label
_atom_site_fract_x
_atom_site_fract_y
_atom_site_fract_z
Mg1 0.000 0.500 0.000
Mg2 0.078 0.206 0.000
Cd1 0.170 0.670 0.500
Ni1 0.123 0.377 0.500
Ag1 0.000 0.000 0.500
```

Calculated values
total magnetization	0.00	μB per cell
DFT formation energy	-86	meV/atom

---

VASP calculation (PBE) on Hf6HN after structural relaxation.

```
data_Hf6HN
_chemical_formula_sum 'Hf18 H3 N3'
_space_group_name_H-M_alt 'R -3'
_space_group_IT_number 148
_space_group_name_Hall '-R 3'
_cell_length_a 5.5878
_cell_length_b 5.5878
_cell_length_c 15.4121
_cell_angle_alpha 90.00
_cell_angle_beta 90.00
_cell_angle_gamma 120.00
loop_
_atom_site_label
_atom_site_fract_x
_atom_site_fract_y
_atom_site_fract_z
Hf1 0.0036 0.3269 0.4148
H1 0.0000 0.0000 0.0000
N1 0.0000 0.0000 0.5000
```

Calculated values
distance to the lowest polymorph of the same formula	0.0	kJ per mole of atoms
total magnetization	0.00	μB per cell